Compound: Mn2CdS4
Source: the Alexandria database
Functional: GGA-PBE
Structure: relaxed

Unit cell a=6.1379 b=3.5462 c=6.4608 alpha=90.00 beta=91.71 gamma=90.00
Last column: nearest neighbours and their distance in Å.
Sites, in units of the cell vectors:
Mn: 0.0000 0.0000 0.0000  6 S 2.38-2.49
Mn: 0.5000 0.5000 0.0000  6 S 2.40-2.56
Cd: 0.0000 0.0000 0.5000  6 S 2.72-2.77
S: 0.1648 0.5000 0.2264  3 Mn 2.49-2.56, 2 Cd 2.72
S: 0.3246 0.0000 0.8074  3 Mn 2.38-2.40
S: 0.6754 0.0000 0.1926  3 Mn 2.38-2.40
S: 0.8352 0.5000 0.7736  3 Mn 2.49-2.56, 2 Cd 2.72

Properties
SG: P2/m (10)
Spin magnetization, μB per cell: 7.95
Uncorrected formation energy, meV per atom: -480